# 1
First-principles (PBE-GGA) data for a relaxed structure of Ca3TiNi, as listed in the Alexandria database.

Energy above the most stable polymorph in this dataset, eV/atom: 0.000
DFT formation energy, eV/atom: 0.4306
M_tot, μB per formula unit: 3.227

a b c (Å): 5.3860 5.3860 5.3860
angles (deg): 90.00 90.00 90.00
Element x y z (fractional)
Ca: 0.0000 0.0000 0.5000
Ca: 0.0000 0.5000 0.0000
Ca: 0.5000 0.0000 0.0000
Ti: 0.5000 0.5000 0.5000
Ni: 0.0000 0.0000 0.0000


# 2
First-principles (PBE-GGA) data for a relaxed structure of CaTiNi2, as listed in the Alexandria database.

Energy above the most stable polymorph in this dataset, eV/atom: 0.000
DFT formation energy, eV/atom: -0.2444
M_tot, μB per formula unit: 0.000

a b c (Å): 3.1102 3.1102 6.8721
angles (deg): 90.00 90.00 90.00
Element x y z (fractional)
Ca: 0.0000 0.0000 0.0000
Ti: 0.0000 0.0000 0.5000
Ni: 0.5000 0.5000 0.3126
Ni: 0.5000 0.5000 0.6874


# 3
First-principles (PBE-GGA) data for a relaxed structure of CaTiNi2, as listed in the Alexandria database.

Energy above the most stable polymorph in this dataset, eV/atom: 0.260
DFT formation energy, eV/atom: 0.0153
M_tot, μB per formula unit: 0.000

a b c (Å): 4.5058 4.5058 4.5058
angles (deg): 60.00 60.00 60.00
Element x y z (fractional)
Ca: 0.0000 0.0000 0.0000
Ti: 0.5000 0.5000 0.5000
Ni: 0.2500 0.2500 0.2500
Ni: 0.7500 0.7500 0.7500


# 4
First-principles (PBE-GGA) data for a relaxed structure of CaTi2Ni2, as listed in the Alexandria database.

Energy above the most stable polymorph in this dataset, eV/atom: 0.231
DFT formation energy, eV/atom: 0.0637
M_tot, μB per formula unit: 1.540

a b c (Å): 5.7492 5.7492 5.7492
angles (deg): 134.63 134.63 66.11
Element x y z (fractional)
Ca: 0.0000 0.0000 0.0000
Ti: 0.3495 0.3495 0.0000
Ti: 0.6505 0.6505 0.0000
Ni: 0.2500 0.7500 0.5000
Ni: 0.7500 0.2500 0.5000


# 5
First-principles (PBE-GGA) data for a relaxed structure of Ca2TiNi, as listed in the Alexandria database.

Energy above the most stable polymorph in this dataset, eV/atom: 0.146
DFT formation energy, eV/atom: 0.5422
M_tot, μB per formula unit: 3.433

a b c (Å): 5.1465 5.1465 5.1465
angles (deg): 60.00 60.00 60.00
Element x y z (fractional)
Ca: 0.2500 0.2500 0.2500
Ca: 0.7500 0.7500 0.7500
Ti: 0.0000 0.0000 0.0000
Ni: 0.5000 0.5000 0.5000


# 6
First-principles (PBE-GGA) data for a relaxed structure of Ca3TiNi, as listed in the Alexandria database.

Energy above the most stable polymorph in this dataset, eV/atom: 0.762
DFT formation energy, eV/atom: 1.1922
M_tot, μB per formula unit: 4.438

a b c (Å): 5.6668 5.6668 5.6668
angles (deg): 90.00 90.00 90.00
Element x y z (fractional)
Ca: 0.0000 0.0000 0.5000
Ca: 0.0000 0.5000 0.0000
Ca: 0.5000 0.0000 0.0000
Ti: 0.0000 0.0000 0.0000
Ni: 0.5000 0.5000 0.5000


# 7
First-principles (PBE-GGA) data for a relaxed structure of CaTi3Ni, as listed in the Alexandria database.

Energy above the most stable polymorph in this dataset, eV/atom: 1.547
DFT formation energy, eV/atom: 1.8900
M_tot, μB per formula unit: 1.610

a b c (Å): 4.5251 4.5251 4.5251
angles (deg): 90.00 90.00 90.00
Element x y z (fractional)
Ca: 0.0000 0.0000 0.0000
Ti: 0.0000 0.0000 0.5000
Ti: 0.0000 0.5000 0.0000
Ti: 0.5000 0.0000 0.0000
Ni: 0.5000 0.5000 0.5000


# 8
First-principles (PBE-GGA) data for a relaxed structure of CaTi2Ni2, as listed in the Alexandria database.

Energy above the most stable polymorph in this dataset, eV/atom: 0.094
DFT formation energy, eV/atom: -0.0738
M_tot, μB per formula unit: 0.589

a b c (Å): 7.6841 7.6841 2.7351
angles (deg): 90.00 90.00 90.00
Element x y z (fractional)
Ca: 0.0000 0.0000 0.0000
Ca: 0.5000 0.5000 0.0000
Ti: 0.1382 0.3618 0.0000
Ti: 0.3618 0.8618 0.0000
Ti: 0.6382 0.1382 0.0000
Ti: 0.8618 0.6382 0.0000
Ni: 0.1537 0.6537 0.5000
Ni: 0.3463 0.1537 0.5000
Ni: 0.6537 0.8463 0.5000
Ni: 0.8463 0.3463 0.5000